one | La2Tb2Ho3 after structural relaxation, computed with GGA-PBE.

Computed properties:
DOS(E_F) ... 9.79 states/eV/f.u.
Total moment ... 0.000 μB/atom

Lattice parameters (Å, degrees): 3.6077 6.1979 10.8155 95.34 90.01 106.86
Space group P-1 (No. 2)
One atom of each set of equivalent atoms:
La 0.2144 0.4276 0.3544 (multiplicity 2)
Tb 0.0713 0.1412 0.7898 (multiplicity 2)
Ho 0.3570 0.7153 0.9312 (multiplicity 2)
Ho 0.5000 0.0000 0.5000 (multiplicity 1)

two | La2Tb2Ho3 after structural relaxation, computed with GGA-PBE.

Computed properties:
DOS(E_F) ... 11.46 states/eV/f.u.
Total moment ... 0.000 μB/atom

Lattice parameters (Å, degrees): 17.7259 3.5216 8.6064 90.00 118.93 90.00
Space group C2/m (No. 12)
One atom of each set of equivalent atoms:
La 0.0676 0.0000 0.2187 (multiplicity 4)
Tb 0.1530 0.5000 0.9649 (multiplicity 4)
Ho 0.0000 0.5000 0.5000 (multiplicity 2)
Ho 0.2116 0.5000 0.6244 (multiplicity 4)

In terms of stability, one leads; the second structure lies 10.7 kJ/mol of atoms higher.

one | La6Tb12Ho after structural relaxation, computed with GGA-PBE.

Computed properties:
DOS(E_F) ... 27.54 states/eV/f.u.
Total moment ... 0.000 μB/atom

Lattice parameters (Å, degrees): 11.1766 11.1766 17.9664 90.00 90.00 120.00
Space group R-3m (No. 166, hexagonal axes)
One atom of each set of equivalent atoms:
La 0.0694 0.5347 0.2684 (multiplicity 18)
Tb 0.1002 0.5501 0.9110 (multiplicity 18)
Tb 0.1058 0.2117 0.9069 (multiplicity 18)
Ho 0.0000 0.0000 0.5000 (multiplicity 3)

two | La6Tb12Ho after structural relaxation, computed with GGA-PBE.

Computed properties:
DOS(E_F) ... 29.53 states/eV/f.u.
Total moment ... 0.000 μB/atom

Lattice parameters (Å, degrees): 16.7960 16.7960 8.2058 90.00 90.00 120.00
Space group R-3m (No. 166, hexagonal axes)
One atom of each set of equivalent atoms:
La 0.0990 0.1979 0.0761 (multiplicity 18)
Tb 0.0000 0.3837 0.0000 (multiplicity 18)
Tb 0.1089 0.2177 0.6188 (multiplicity 18)
Ho 0.0000 0.0000 0.5000 (multiplicity 3)

In terms of stability, one leads; the second structure lies 17.2 kJ/mol of atoms higher.

one | La5Tb2Ho2 after structural relaxation, computed with GGA-PBE.

Computed properties:
DOS(E_F) ... 12.62 states/eV/f.u.
Total moment ... 0.000 μB/atom

Lattice parameters (Å, degrees): 15.2041 12.9862 6.3004 90.00 90.00 90.00
Space group Ima2 (No. 46)
One atom of each set of equivalent atoms:
La 0.0502 0.2003 0.0000 (multiplicity 8)
La 0.1443 0.6830 0.8428 (multiplicity 8)
La 0.2500 0.1702 0.7517 (multiplicity 4)
Tb 0.1346 0.5509 0.3459 (multiplicity 8)
Ho 0.0000 0.0000 0.4075 (multiplicity 4)
Ho 0.2500 0.0589 0.2745 (multiplicity 4)

two | La5Tb2Ho2 after structural relaxation, computed with GGA-PBE.

Computed properties:
DOS(E_F) ... 15.37 states/eV/f.u.
Total moment ... 0.000 μB/atom

Lattice parameters (Å, degrees): 6.3036 6.3119 9.6750 71.22 71.45 60.20
Space group P-1 (No. 2)
One atom of each set of equivalent atoms:
La 0.0000 0.0000 0.0000 (multiplicity 1)
La 0.1107 0.4434 0.6684 (multiplicity 2)
La 0.4446 0.7786 0.6676 (multiplicity 2)
Tb 0.3339 0.3304 0.0000 (multiplicity 2)
Ho 0.2226 0.8904 0.3319 (multiplicity 2)

In terms of stability, two leads; the second structure lies 13.1 kJ/mol of atoms higher.

one | LaHo3Tc after structural relaxation, computed with GGA-PBE.

Computed properties:
DOS(E_F) ... 4.81 states/eV/f.u.
Total moment ... 0.000 μB/atom

Lattice parameters (Å, degrees): 8.6499 3.8147 8.8004 90.00 101.64 90.00
Space group P2_1/m (No. 11)
One atom of each set of equivalent atoms:
La 0.1683 0.2500 0.0125 (multiplicity 2)
Ho 0.0269 0.7500 0.6611 (multiplicity 2)
Ho 0.3422 0.7500 0.3936 (multiplicity 2)
Ho 0.4226 0.7500 0.8132 (multiplicity 2)
Tc 0.2632 0.2500 0.5997 (multiplicity 2)

two | LaHo3Tc after structural relaxation, computed with GGA-PBE.

Computed properties:
DOS(E_F) ... 8.30 states/eV/f.u.
Total moment ... 0.000 μB/atom

Lattice parameters (Å, degrees): 5.4079 5.4079 5.4079 90.00 90.00 90.00
Space group Pm-3m (No. 221)
One atom of each set of equivalent atoms:
La 0.0000 0.0000 0.0000 (multiplicity 1)
Ho 0.0000 0.5000 0.5000 (multiplicity 3)
Tc 0.5000 0.5000 0.5000 (multiplicity 1)

In terms of stability, one leads; the second structure lies 15.0 kJ/mol of atoms higher.

one | LaHoTe2 after structural relaxation, computed with GGA-PBE.

Computed properties:
DOS(E_F) ... 3.28 states/eV/f.u.
Total moment ... 0.174 μB/atom

Lattice parameters (Å, degrees): 7.7049 7.7049 7.7049 90.00 90.00 90.00
Space group Fm-3m (No. 225)
One atom of each set of equivalent atoms:
La 0.0000 0.0000 0.0000 (multiplicity 4)
Ho 0.0000 0.0000 0.5000 (multiplicity 4)
Te 0.2500 0.2500 0.2500 (multiplicity 8)

two | LaHoTe2 after structural relaxation, computed with GGA-PBE.

Computed properties:
DOS(E_F) ... 2.37 states/eV/f.u.
Total moment ... 0.000 μB/atom

Lattice parameters (Å, degrees): 7.6695 4.4192 7.8182 90.00 109.00 90.00
Space group C2/m (No. 12)
One atom of each set of equivalent atoms:
La 0.0000 0.0000 0.0000 (multiplicity 2)
Ho 0.0000 0.5000 0.5000 (multiplicity 2)
Te 0.2438 0.0000 0.7313 (multiplicity 4)

three | LaHoTe2 after structural relaxation, computed with GGA-PBE.

Computed properties:
DOS(E_F) ... 4.00 states/eV/f.u.
Total moment ... 0.041 μB/atom

Lattice parameters (Å, degrees): 5.4343 5.4343 3.8736 90.00 90.00 90.00
Space group P4/mmm (No. 123)
One atom of each set of equivalent atoms:
La 0.0000 0.0000 0.0000 (multiplicity 1)
Ho 0.5000 0.5000 0.0000 (multiplicity 1)
Te 0.0000 0.5000 0.5000 (multiplicity 2)

In terms of stability, two leads; the second structure lies 13.4 kJ/mol of atoms higher.

one | La2HoTe3 after structural relaxation, computed with GGA-PBE.

Computed properties:
DOS(E_F) ... 4.12 states/eV/f.u.
Total moment ... 0.001 μB/atom

Lattice parameters (Å, degrees): 4.4767 6.3737 13.5632 90.00 90.00 90.00
Space group Immm (No. 71)
One atom of each set of equivalent atoms:
La 0.0000 0.0000 0.1720 (multiplicity 4)
Ho 0.0000 0.0000 0.5000 (multiplicity 2)
Te 0.0000 0.5000 0.1555 (multiplicity 4)
Te 0.0000 0.5000 0.5000 (multiplicity 2)

two | La2HoTe3 after structural relaxation, computed with GGA-PBE.

Computed properties:
DOS(E_F) ... 4.07 states/eV/f.u.
Total moment ... 0.000 μB/atom

Lattice parameters (Å, degrees): 9.0988 12.7213 26.7069 90.00 90.00 90.00
Space group Fddd (No. 70, origin choice 2)
One atom of each set of equivalent atoms:
La 0.1250 0.1250 0.0446 (multiplicity 16)
La 0.1250 0.1250 0.3731 (multiplicity 16)
Ho 0.1250 0.1250 0.5422 (multiplicity 16)
Te 0.1091 0.3750 0.8750 (multiplicity 16)
Te 0.1177 0.3685 0.7112 (multiplicity 32)

In terms of stability, two leads; the second structure lies 0.9 kJ/mol of atoms higher.

one | La2HoTe4 after structural relaxation, computed with GGA-PBE.

Computed properties:
DOS(E_F) ... 2.71 states/eV/f.u.
Total moment ... 0.000 μB/atom

Lattice parameters (Å, degrees): 4.3139 15.1175 15.3585 90.00 90.00 90.00
Space group Cmcm (No. 63)
One atom of each set of equivalent atoms:
La 0.0000 0.1317 0.0732 (multiplicity 8)
Ho 0.0000 0.3705 0.2500 (multiplicity 4)
Te 0.0000 0.0179 0.2500 (multiplicity 4)
Te 0.0000 0.2168 0.6266 (multiplicity 8)
Te 0.0000 0.5000 0.0000 (multiplicity 4)

two | La2HoTe4 after structural relaxation, computed with GGA-PBE.

Computed properties:
DOS(E_F) ... 2.52 states/eV/f.u.
Total moment ... 0.000 μB/atom

Lattice parameters (Å, degrees): 8.9216 9.0280 12.4889 90.00 90.00 90.00
Space group Imma (No. 74)
One atom of each set of equivalent atoms:
La 0.0000 0.0000 0.0000 (multiplicity 4)
La 0.2500 0.2500 0.2500 (multiplicity 4)
Ho 0.2500 0.2500 0.7500 (multiplicity 4)
Te 0.0000 0.0113 0.7389 (multiplicity 8)
Te 0.2423 0.2500 0.5056 (multiplicity 8)

In terms of stability, two leads; the second structure lies 6.1 kJ/mol of atoms higher.

one | La3HoTe6 after structural relaxation, computed with GGA-PBE.

Computed properties:
Total moment ... 0.000 μB/atom

Lattice parameters (Å, degrees): 14.0525 14.0525 13.1607 90.00 90.00 120.00
Space group R-3 (No. 148, hexagonal axes)
One atom of each set of equivalent atoms:
La 0.0491 0.4399 0.3192 (multiplicity 18)
Ho 0.0000 0.0000 0.0000 (multiplicity 3)
Ho 0.0000 0.0000 0.5000 (multiplicity 3)
Te 0.0353 0.2066 0.3891 (multiplicity 18)
Te 0.0506 0.2049 0.8826 (multiplicity 18)

two | La3HoTe6 after structural relaxation, computed with GGA-PBE.

Computed properties:
Total moment ... 0.000 μB/atom

Lattice parameters (Å, degrees): 7.5336 8.4404 13.4385 90.00 122.01 90.00
Space group P2_1/c (No. 14)
One atom of each set of equivalent atoms:
La 0.0000 0.0000 0.0000 (multiplicity 2)
La 0.3065 0.1157 0.7567 (multiplicity 4)
Ho 0.5000 0.0000 0.5000 (multiplicity 2)
Te 0.0980 0.0534 0.2593 (multiplicity 4)
Te 0.2486 0.6737 0.0804 (multiplicity 4)
Te 0.4180 0.1825 0.0748 (multiplicity 4)

In terms of stability, two leads; the second structure lies 1.3 kJ/mol of atoms higher.

one | LaHoTe after structural relaxation, computed with GGA-PBE.

Computed properties:
DOS(E_F) ... 4.99 states/eV/f.u.
Total moment ... 0.216 μB/atom

Lattice parameters (Å, degrees): 5.2450 5.2450 4.0151 90.00 90.00 120.00
Space group P3m1 (No. 156)
One atom of each set of equivalent atoms:
La 0.0000 0.0000 0.0000 (multiplicity 1)
Ho 0.3333 0.6667 0.5013 (multiplicity 1)
Te 0.6667 0.3333 0.5276 (multiplicity 1)

two | LaHoTe after structural relaxation, computed with GGA-PBE.

Computed properties:
DOS(E_F) ... 2.58 states/eV/f.u.
Total moment ... 0.000 μB/atom

Lattice parameters (Å, degrees): 4.5427 4.5427 8.8434 90.00 90.00 90.00
Space group P4/nmm (No. 129, origin choice 2)
One atom of each set of equivalent atoms:
La 0.2500 0.2500 0.1439 (multiplicity 2)
Ho 0.2500 0.7500 0.5000 (multiplicity 2)
Te 0.2500 0.2500 0.7636 (multiplicity 2)

In terms of stability, two leads; the second structure lies 35.0 kJ/mol of atoms higher.